# GGA+U Ca3W5O12, optimized geometry
data_Ca3W5O12
_chemical_formula_sum 'Ca24 W40 O96'
_cell_length_a 13.2481
_cell_length_b 13.2481
_cell_length_c 13.2481
_cell_angle_alpha 90.00
_cell_angle_beta 90.00
_cell_angle_gamma 90.00
_space_group_name_H-M_alt 'I a -3 d'
_space_group_IT_number 230
_space_group_name_Hall '-I 4bd 2c 3'
loop_
_atom_site_label
_atom_site_fract_x
_atom_site_fract_y
_atom_site_fract_z
_atom_site_occupancy
Ca1 0.0000 0.2500 0.1250 1
W1 0.0000 0.0000 0.0000 1
W2 0.0000 0.2500 0.3750 1
O1 0.0240 0.0527 0.6539 1
# electronic total energy	-7.144	eV/atom
# spin magnetization	12.000	μB per formula unit